# 1
VASP calculation (PBEsol) on an optimized crystal structure of Ta6Mo.

Cell: 4.6101 4.6101 7.0744 Å, 70.98 70.98 60.00°
Fractional coordinates of all 7 atoms:
1 Mo 0.0000 0.0000 0.0000
2 Ta 0.2873 0.2873 0.1381
3 Ta 0.5700 0.5700 0.2901
4 Ta 0.8592 0.8592 0.4225
5 Ta 0.1408 0.1408 0.5775
6 Ta 0.4300 0.4300 0.7099
7 Ta 0.7127 0.7127 0.8619

Summary:
The value obtained for the energy relative to the lowest polymorph listed for this composition is 16 meV per atom.

***

# 2
VASP calculation (PBEsol) on an optimized crystal structure of MgTcC3.

Cell: 3.9102 3.9102 3.9102 Å, 90.00 90.00 90.00°
Site moments in Bohr magnetons follow the coordinates.
Fractional coordinates of all 5 atoms:
1 C 0.0000 0.5000 0.0000  -0.03
2 C 0.0000 0.0000 0.5000  -0.03
3 C 0.5000 0.0000 0.0000  -0.03
4 Mg 0.0000 0.0000 0.0000  0.03
5 Tc 0.5000 0.5000 0.5000  2.67

Summary:
The calculation puts the total energy at -25.993 eV/cell.

***

# 3
VASP calculation (PBEsol) on an optimized crystal structure of Ta5Rh.

Cell: 4.9150 4.9150 4.9445 Å, 90.00 90.00 120.00°
Fractional coordinates of all 6 atoms:
1 Rh 0.0000 0.0000 0.5000
2 Ta 0.3305 0.3305 0.0000
3 Ta 0.6695 0.0000 0.0000
4 Ta 0.0000 0.6695 0.0000
5 Ta 0.3333 0.6667 0.5000
6 Ta 0.6667 0.3333 0.5000

Summary:
The value obtained for the energy relative to the lowest polymorph listed for this composition is 343 meV per atom.

***

# 4
VASP calculation (PBEsol) on an optimized crystal structure of LiCu3P3O11.

Cell: 8.3808 9.3978 10.5253 Å, 90.00 93.62 90.00°
Site moments in Bohr magnetons follow the coordinates.
Fractional coordinates of all 72 atoms:
1 Li 0.0542 0.7620 0.4856  0.00
2 Li 0.0542 0.7380 0.9856  0.00
3 Li 0.9458 0.2620 0.0144  0.00
4 Li 0.9458 0.2380 0.5144  0.00
5 Cu 0.0222 0.3072 0.7530  0.63
6 Cu 0.0222 0.1928 0.2530  0.63
7 Cu 0.4509 0.3790 0.9255  0.63
8 Cu 0.4192 0.3841 0.6443  0.60
9 Cu 0.4509 0.1210 0.4255  0.63
10 Cu 0.5808 0.8841 0.8557  0.60
11 Cu 0.4192 0.1159 0.1443  0.60
12 Cu 0.5491 0.8790 0.5745  0.63
13 Cu 0.5808 0.6159 0.3557  0.60
14 Cu 0.5491 0.6210 0.0745  0.63
15 Cu 0.9778 0.8072 0.7470  0.63
16 Cu 0.9778 0.6928 0.2470  0.63
17 P 0.1759 0.0438 0.9019  0.01
18 P 0.1946 0.0393 0.6351  0.01
19 P 0.1759 0.4562 0.4019  0.01
20 P 0.3706 0.6760 0.8106  0.01
21 P 0.1946 0.4607 0.1351  0.01
22 P 0.3706 0.8240 0.3106  0.01
23 P 0.6294 0.1760 0.6894  0.01
24 P 0.8054 0.5393 0.8649  0.01
25 P 0.6294 0.3240 0.1894  0.01
26 P 0.8241 0.5438 0.5981  0.01
27 P 0.8054 0.9607 0.3649  0.01
28 P 0.8241 0.9562 0.0981  0.01
29 O 0.0423 0.9321 0.8911  0.07
30 O 0.0690 0.9212 0.6165  0.08
31 O 0.0423 0.5679 0.3911  0.07
32 O 0.1960 0.7030 0.8183  0.04
33 O 0.1132 0.1972 0.8932  0.07
34 O 0.0690 0.5788 0.1165  0.08
35 O 0.1960 0.7970 0.3183  0.04
36 O 0.1302 0.1916 0.6302  0.07
37 O 0.1132 0.3028 0.3932  0.07
38 O 0.3994 0.5142 0.7877  0.10
39 O 0.2784 0.0208 0.7765  0.00
40 O 0.1302 0.3084 0.1302  0.07
41 O 0.2955 0.4814 0.5141  0.07
42 O 0.4649 0.7341 0.9380  0.19
43 O 0.3219 0.0154 0.5395  0.10
44 O 0.3994 0.9858 0.2877  0.10
45 O 0.2784 0.4792 0.2765  0.00
46 O 0.4651 0.7666 0.7158  0.15
47 O 0.2955 0.0186 0.0141  0.07
48 O 0.4649 0.7659 0.4380  0.19
49 O 0.3219 0.4846 0.0395  0.10
50 O 0.4651 0.7334 0.2158  0.15
51 O 0.5349 0.2666 0.7842  0.15
52 O 0.6781 0.5154 0.9605  0.10
53 O 0.5351 0.2341 0.5620  0.19
54 O 0.7045 0.9814 0.9859  0.07
55 O 0.5349 0.2334 0.2842  0.15
56 O 0.7216 0.5208 0.7235  0.00
57 O 0.6006 0.0142 0.7123  0.10
58 O 0.6781 0.9846 0.4605  0.10
59 O 0.5351 0.2659 0.0620  0.19
60 O 0.7045 0.5186 0.4859  0.07
61 O 0.8698 0.6916 0.8698  0.07
62 O 0.7216 0.9792 0.2235  0.00
63 O 0.6006 0.4858 0.2123  0.10
64 O 0.8868 0.6972 0.6068  0.07
65 O 0.8698 0.8084 0.3698  0.07
66 O 0.8040 0.2030 0.6817  0.04
67 O 0.9310 0.4212 0.8835  0.08
68 O 0.8868 0.8028 0.1068  0.07
69 O 0.8040 0.2970 0.1817  0.04
70 O 0.9577 0.4321 0.6089  0.07
71 O 0.9310 0.0788 0.3835  0.08
72 O 0.9577 0.0679 0.1089  0.07

Summary:
The calculation puts the total energy at -477.575 eV/cell.

***

# 5
VASP calculation (PBEsol) on an optimized crystal structure of YZn2Ni.

Cell: 3.0362 3.2183 6.5806 Å, 90.00 90.00 90.00°
Fractional coordinates of all 4 atoms:
1 Ni 0.5000 0.5000 0.0000
2 Y 0.5000 0.5000 0.5000
3 Zn 0.0000 0.0000 0.8114
4 Zn 0.0000 0.0000 0.1886

Summary:
The calculation puts the total energy at -17.012 eV/cell.

***

# 6
VASP calculation (PBEsol) on an optimized crystal structure of KPH2SO3.

Cell: 4.5022 4.5022 5.8999 Å, 76.29 76.29 88.03°
Fractional coordinates of all 8 atoms:
1 P 0.6531 0.6531 0.1123
2 K 0.1595 0.1595 0.6108
3 S 0.6158 0.6158 0.7935
4 O 0.8967 0.8967 0.1005
5 O 0.7402 0.3443 0.2731
6 O 0.3443 0.7402 0.2731
7 H 0.7976 0.1587 0.1894
8 H 0.1587 0.7976 0.1894

Summary:
The calculation puts the total energy at -46.016 eV/cell.

***

# 7
VASP calculation (PBEsol) on an optimized crystal structure of SrLaMnNbO6.

Cell: 5.6338 5.7717 7.9859 Å, 90.00 89.88 90.00°
Site moments in Bohr magnetons follow the coordinates.
Fractional coordinates of all 20 atoms:
1 Sr 0.4928 0.2872 0.2512  0.00
2 Sr 0.9928 0.7128 0.7512  0.00
3 La 0.5122 0.1971 0.7541  0.02
4 La 0.0122 0.8029 0.2541  0.02
5 Mn 0.0021 0.2560 0.5022  4.30
6 Mn 0.5021 0.7440 0.0022  4.30
7 Nb 0.0010 0.2559 0.0008  0.19
8 Nb 0.5010 0.7441 0.5008  0.19
9 O 0.2920 0.0224 0.4531  0.04
10 O 0.7920 0.9776 0.9531  0.04
11 O 0.6880 0.4546 0.5485  0.04
12 O 0.1880 0.5454 0.0485  0.04
13 O 0.2086 0.5537 0.4519  0.03
14 O 0.7086 0.4463 0.9519  0.03
15 O 0.7796 0.9537 0.5383  0.04
16 O 0.2796 0.0463 0.0383  0.04
17 O 0.4259 0.7799 0.7435  0.04
18 O 0.9259 0.2201 0.2435  0.04
19 O 0.5979 0.7249 0.2564  0.04
20 O 0.0979 0.2751 0.7564  0.04

Summary:
The calculation puts the total energy at -172.977 eV/cell.

***

# 8
VASP calculation (PBEsol) on an optimized crystal structure of InC3.

Cell: 2.6742 2.6742 6.9328 Å, 90.00 90.00 120.00°
Fractional coordinates of all 4 atoms:
1 C 0.0000 0.0000 0.1216
2 C 0.0000 0.0000 0.8784
3 C 0.3333 0.6667 0.0000
4 In 0.3333 0.6667 0.5000

Summary:
The value obtained for the energy relative to the lowest polymorph listed for this composition is 0 meV per atom.